(1)
Density functional theory data (PBE) for Pr4Al3In after structural relaxation.

abc: 5.3717 5.3717 9.3002
angles: 73.21 73.21 60.00
Atoms (fractional coordinates):
1 Pr 0.8727 0.8727 0.3820
2 Pr 0.3775 0.3775 0.8675
3 Pr 0.1273 0.1273 0.6180
4 Pr 0.6225 0.6225 0.1325
5 Al 0.2514 0.2514 0.2459
6 Al 0.7486 0.7486 0.7541
7 Al 0.5000 0.5000 0.5000
8 In 0.0000 0.0000 0.0000

The formation energy is -3.0 eV per formula unit. As for the calculated volume: 219.11 Å³ per cell. For the electronic total energy, the calculation gives -36.0 eV per cell. Its relative energy among the computed polymorphs is 0.00 eV per formula unit.

***

(2)
Density functional theory data (PBE) for Pr3Al4In2 after structural relaxation.

abc: 4.7154 6.0920 9.0274
angles: 109.91 90.00 112.77
Atoms (fractional coordinates):
1 Pr 0.6628 0.3256 0.6699
2 Pr 0.0000 0.0000 0.0000
3 Pr 0.3372 0.6744 0.3301
4 Al 0.7310 0.4619 0.0560
5 Al 0.2690 0.5381 0.9440
6 Al 0.9470 0.8939 0.6086
7 Al 0.0530 0.1061 0.3914
8 In 0.6186 0.2372 0.2817
9 In 0.3814 0.7628 0.7183

The formation energy is -4.1 eV per formula unit. As for the calculated volume: 222.21 Å³ per cell. For the electronic total energy, the calculation gives -38.9 eV per cell.

***

(3)
Density functional theory data (PBE) for Pr2Al2In after structural relaxation.

abc: 3.7780 4.5710 7.8052
angles: 107.03 90.00 90.00
Atoms (fractional coordinates):
1 Pr 0.5000 0.6226 0.2452
2 Pr 0.5000 0.3774 0.7548
3 Al 0.0000 0.2031 0.4063
4 Al 0.0000 0.7969 0.5937
5 In 0.0000 0.0000 0.0000

The formation energy is -2.3 eV per formula unit. As for the calculated volume: 128.88 Å³ per cell. For the electronic total energy, the calculation gives -22.1 eV per cell.

***

(4)
Density functional theory data (PBE) for PrAlIn after structural relaxation.

abc: 3.5568 3.5568 6.5531
angles: 105.75 105.75 90.00
Atoms (fractional coordinates):
1 Pr 0.9932 0.9932 0.9864
2 Al 0.3188 0.3188 0.6375
3 In 0.6881 0.6881 0.3761

The formation energy is -0.8 eV per formula unit. As for the calculated volume: 76.55 Å³ per cell. For the electronic total energy, the calculation gives -12.0 eV per cell.

***

(5)
Density functional theory data (PBE) for Pr2Al4InPt3 after structural relaxation.

abc: 4.3465 4.3465 10.7254
angles: 90.00 90.00 90.00
Atoms (fractional coordinates):
1 Pr 0.5000 0.0000 0.2420
2 Pr 0.0000 0.5000 0.7580
3 Al 0.5000 0.5000 0.0000
4 Al 0.0000 0.0000 0.0000
5 Al 0.5000 0.0000 0.6470
6 Al 0.0000 0.5000 0.3530
7 In 0.5000 0.5000 0.5000
8 Pt 0.0000 0.0000 0.5000
9 Pt 0.5000 0.0000 0.8760
10 Pt 0.0000 0.5000 0.1240

The formation energy is -9.4 eV per formula unit. As for the calculated volume: 202.63 Å³ per cell. For the electronic total energy, the calculation gives -54.8 eV per cell.

***

(6)
Density functional theory data (PBE) for Pr2Al2InPt5 after structural relaxation.

abc: 3.7392 10.1806 10.1806
angles: 90.00 90.00 90.00
Atoms (fractional coordinates):
1 Pr 0.0000 0.6812 0.1812
2 Pr 0.0000 0.3188 0.8188
3 Pr 0.0000 0.1812 0.3188
4 Pr 0.0000 0.8188 0.6812
5 Al 0.0000 0.1170 0.6170
6 Al 0.0000 0.8830 0.3830
7 Al 0.0000 0.6170 0.8830
8 Al 0.0000 0.3830 0.1170
9 In 0.0000 0.0000 0.0000
10 In 0.0000 0.5000 0.5000
11 Pt 0.5000 0.2170 0.0608
12 Pt 0.5000 0.7830 0.9392
13 Pt 0.5000 0.0608 0.7830
14 Pt 0.5000 0.7170 0.4392
15 Pt 0.5000 0.9392 0.2170
16 Pt 0.5000 0.2830 0.5608
17 Pt 0.5000 0.5608 0.7170
18 Pt 0.5000 0.4392 0.2830
19 Pt 0.5000 0.5000 0.0000
20 Pt 0.5000 0.0000 0.5000

The formation energy is -8.8 eV per formula unit. As for the calculated volume: 387.56 Å³ per cell. For the electronic total energy, the calculation gives -117.5 eV per cell.

***

(7)
Density functional theory data (PBE) for Pr3Al2InPt9 after structural relaxation.

abc: 5.7610 5.7610 11.5180
angles: 90.00 90.00 120.00
Atoms (fractional coordinates):
1 Pr 0.3333 0.6667 0.6011
2 Pr 0.0000 0.0000 0.0000
3 Pr 0.6667 0.3333 0.3989
4 Al 0.3333 0.6667 0.1601
5 Al 0.6667 0.3333 0.8399
6 In 0.0000 0.0000 0.5000
7 Pt 0.8348 0.1652 0.6839
8 Pt 0.8348 0.6697 0.6839
9 Pt 0.3303 0.1652 0.6839
10 Pt 0.6697 0.8348 0.3161
11 Pt 0.1652 0.3303 0.3161
12 Pt 0.1652 0.8348 0.3161
13 Pt 0.5000 0.0000 0.0000
14 Pt 0.0000 0.5000 0.0000
15 Pt 0.5000 0.5000 0.0000

The formation energy is -11.0 eV per formula unit. As for the calculated volume: 331.05 Å³ per cell. For the electronic total energy, the calculation gives -89.9 eV per cell.

***

(8)
Density functional theory data (PBE) for TbPrAlIn after structural relaxation.

abc: 3.7519 3.7519 7.5878
angles: 90.00 90.00 90.00
Atoms (fractional coordinates):
1 Tb 0.5000 0.5000 0.5971
2 Pr 0.5000 0.5000 0.1173
3 Al 0.0000 0.0000 0.3710
4 In 0.0000 0.0000 0.8426

The formation energy is -1.7 eV per formula unit. As for the calculated volume: 106.81 Å³ per cell. For the electronic total energy, the calculation gives -17.6 eV per cell. Its relative energy among the computed polymorphs is 0.00 eV per formula unit.

***

(9)
Density functional theory data (PBE) for TbPrAlIn after structural relaxation.

abc: 5.3300 5.3300 5.3300
angles: 60.00 60.00 60.00
Atoms (fractional coordinates):
1 Pr 0.5000 0.5000 0.5000
2 Tb 0.0000 0.0000 0.0000
3 Al 0.7500 0.7500 0.7500
4 In 0.2500 0.2500 0.2500

The formation energy is -1.6 eV per formula unit. As for the calculated volume: 107.07 Å³ per cell. For the electronic total energy, the calculation gives -17.5 eV per cell. Its relative energy among the computed polymorphs is 0.07 eV per formula unit.

***

(10)
Density functional theory data (PBE) for PrTmAlIn after structural relaxation.

abc: 3.7130 3.7130 7.5615
angles: 90.00 90.00 90.00
Atoms (fractional coordinates):
1 Pr 0.5000 0.5000 0.1181
2 Tm 0.5000 0.5000 0.5965
3 Al 0.0000 0.0000 0.3767
4 In 0.0000 0.0000 0.8366

The formation energy is -1.6 eV per formula unit. As for the calculated volume: 104.25 Å³ per cell. For the electronic total energy, the calculation gives -17.4 eV per cell. Its relative energy among the computed polymorphs is 0.00 eV per formula unit.

***

(11)
Density functional theory data (PBE) for PrTmAlIn after structural relaxation.

abc: 5.2913 5.2913 5.2913
angles: 60.00 60.00 60.00
Atoms (fractional coordinates):
1 Pr 0.0000 0.0000 0.0000
2 Tm 0.5000 0.5000 0.5000
3 Al 0.7500 0.7500 0.7500
4 In 0.2500 0.2500 0.2500

The formation energy is -1.5 eV per formula unit. As for the calculated volume: 104.76 Å³ per cell. For the electronic total energy, the calculation gives -17.3 eV per cell. Its relative energy among the computed polymorphs is 0.10 eV per formula unit.

***

(12)
Density functional theory data (PBE) for PrYAlIn after structural relaxation.

abc: 3.7430 3.7430 7.5941
angles: 90.00 90.00 90.00
Atoms (fractional coordinates):
1 Pr 0.5000 0.5000 0.1173
2 Y 0.5000 0.5000 0.5972
3 Al 0.0000 0.0000 0.3719
4 In 0.0000 0.0000 0.8416

The formation energy is -1.7 eV per formula unit. As for the calculated volume: 106.39 Å³ per cell. For the electronic total energy, the calculation gives -19.5 eV per cell. Its relative energy among the computed polymorphs is 0.00 eV per formula unit.

***

Look up the electronic total energy of the fourth one. -12.0 eV per cell

***

Which of these has the highest calculated volume? Pr2Al2InPt5

***

What did the tenth record say?
Density functional theory data (PBE) for PrTmAlIn after structural relaxation.

abc: 3.7130 3.7130 7.5615
angles: 90.00 90.00 90.00
Atoms (fractional coordinates):
1 Pr 0.5000 0.5000 0.1181
2 Tm 0.5000 0.5000 0.5965
3 Al 0.0000 0.0000 0.3767
4 In 0.0000 0.0000 0.8366

The formation energy is -1.6 eV per formula unit. As for the calculated volume: 104.25 Å³ per cell. For the electronic total energy, the calculation gives -17.4 eV per cell. Its relative energy among the computed polymorphs is 0.00 eV per formula unit.

***

What is the formula in the eleventh record? PrTmAlIn